A relaxed structure of Sc3Pd4, computed with PBE-GGA.

VASP energy = -6.387 eV per atom
Mass density = 6.9 g/cm3
Polymorph energy (0 for the lowest one) = 197 meV/atom

Geometry as CIF:
```
data_Sc3Pd4
_symmetry_space_group_name_H-M 'R -3 m'
_symmetry_Int_Tables_number 166
_symmetry_space_group_name_Hall '-R 3 2"'
_cell_length_a 4.5702
_cell_length_b 4.5702
_cell_length_c 22.3658
_cell_angle_alpha 90.00
_cell_angle_beta 90.00
_cell_angle_gamma 120.00
loop_
_atom_site_label
_atom_site_fract_x
_atom_site_fract_y
_atom_site_fract_z
_atom_site_occupancy
Sc1 0.0000 0.0000 0.0000 1
Sc2 0.0000 0.0000 0.2423 1
Pd1 0.0000 0.0000 0.1222 1
Pd2 0.0000 0.0000 0.3723 1
```

A relaxed structure of Sc7Pd3, computed with PBE-GGA.

VASP energy = -6.511 eV per atom
Mass density = 4.9 g/cm3

Geometry as CIF:
```
data_Sc7Pd3
_symmetry_space_group_name_H-M 'P 63 m c'
_symmetry_Int_Tables_number 186
_symmetry_space_group_name_Hall 'P 6c -2c'
_cell_length_a 9.2384
_cell_length_b 9.2384
_cell_length_c 5.8541
_cell_angle_alpha 90.00
_cell_angle_beta 90.00
_cell_angle_gamma 120.00
loop_
_atom_site_label
_atom_site_fract_x
_atom_site_fract_y
_atom_site_fract_z
_atom_site_occupancy
Sc1 0.0744 0.5372 0.0000 1
Sc2 0.1254 0.2507 0.2853 1
Sc3 0.3333 0.6667 0.4609 1
Pd1 0.1929 0.3858 0.7242 1
```

A relaxed structure of ScPd3, computed with PBE-GGA.

VASP energy = -6.172 eV per atom
Mass density = 9.2 g/cm3

Geometry as CIF:
```
data_ScPd3
_symmetry_space_group_name_H-M 'F m -3 m'
_symmetry_Int_Tables_number 225
_symmetry_space_group_name_Hall '-F 4 2 3'
_cell_length_a 6.415
_cell_length_b 6.415
_cell_length_c 6.415
_cell_angle_alpha 90.00
_cell_angle_beta 90.00
_cell_angle_gamma 90.00
loop_
_atom_site_label
_atom_site_fract_x
_atom_site_fract_y
_atom_site_fract_z
_atom_site_occupancy
Sc1 0.000 0.000 0.000 1
Pd1 0.000 0.000 0.500 1
Pd2 0.250 0.250 0.250 1
```

A relaxed structure of Sc3Pd5, computed with PBE-GGA.

VASP energy = -6.500 eV per atom
Mass density = 8.1 g/cm3

Geometry as CIF:
```
data_Sc3Pd5
_symmetry_space_group_name_H-M 'C m m m'
_symmetry_Int_Tables_number 65
_symmetry_space_group_name_Hall '-C 2 2'
_cell_length_a 7.247
_cell_length_b 8.572
_cell_length_c 4.413
_cell_angle_alpha 90.00
_cell_angle_beta 90.00
_cell_angle_gamma 90.00
loop_
_atom_site_label
_atom_site_fract_x
_atom_site_fract_y
_atom_site_fract_z
_atom_site_occupancy
Sc1 0.000 0.000 0.000 1
Sc2 0.000 0.291 0.500 1
Pd1 0.000 0.500 0.000 1
Pd2 0.212 0.000 0.500 1
Pd3 0.250 0.250 0.000 1
```

A relaxed structure of Sc5Pd, computed with PBE-GGA.

VASP energy = -6.348 eV per atom
Mass density = 4.2 g/cm3

Geometry as CIF:
```
data_Sc5Pd
_symmetry_space_group_name_H-M 'C m m m'
_symmetry_Int_Tables_number 65
_symmetry_space_group_name_Hall '-C 2 2'
_cell_length_a 3.663
_cell_length_b 14.666
_cell_length_c 4.911
_cell_angle_alpha 90.00
_cell_angle_beta 90.00
_cell_angle_gamma 90.00
loop_
_atom_site_label
_atom_site_fract_x
_atom_site_fract_y
_atom_site_fract_z
_atom_site_occupancy
Sc1 0.000 0.000 0.000 1
Sc2 0.000 0.149 0.500 1
Sc3 0.000 0.329 0.000 1
Pd1 0.000 0.500 0.500 1
```

A relaxed structure of Sc5Pd2, computed with PBE-GGA.

VASP energy = -6.516 eV per atom
Mass density = 4.9 g/cm3
Polymorph energy (0 for the lowest one) = 14 meV/atom

Geometry as CIF:
```
data_Sc5Pd2
_symmetry_space_group_name_H-M 'I b a m'
_symmetry_Int_Tables_number 72
_symmetry_space_group_name_Hall '-I 2 2c'
_cell_length_a 6.636
_cell_length_b 13.954
_cell_length_c 6.354
_cell_angle_alpha 90.00
_cell_angle_beta 90.00
_cell_angle_gamma 90.00
loop_
_atom_site_label
_atom_site_fract_x
_atom_site_fract_y
_atom_site_fract_z
_atom_site_occupancy
Sc1 0.000 0.000 0.250 1
Sc2 0.000 0.226 0.250 1
Sc3 0.144 0.411 0.000 1
Pd1 0.244 0.376 0.500 1
```

A relaxed structure of ScPd3, computed with PBE-GGA.

VASP energy = -6.241 eV per atom
Mass density = 9.3 g/cm3

Geometry as CIF:
```
data_ScPd3
_symmetry_space_group_name_H-M 'I 4/m m m'
_symmetry_Int_Tables_number 139
_symmetry_space_group_name_Hall '-I 4 2'
_cell_length_a 4.054
_cell_length_b 4.054
_cell_length_c 7.950
_cell_angle_alpha 90.00
_cell_angle_beta 90.00
_cell_angle_gamma 90.00
loop_
_atom_site_label
_atom_site_fract_x
_atom_site_fract_y
_atom_site_fract_z
_atom_site_occupancy
Sc1 0.000 0.000 0.000 1
Pd1 0.000 0.000 0.500 1
Pd2 0.000 0.500 0.250 1
```

A relaxed structure of Sc5Pd3, computed with PBE-GGA.

VASP energy = -6.553 eV per atom
Mass density = 5.7 g/cm3
Polymorph energy (0 for the lowest one) = 0 meV/atom

Geometry as CIF:
```
data_Sc5Pd3
_symmetry_space_group_name_H-M 'I 4/m c m'
_symmetry_Int_Tables_number 140
_symmetry_space_group_name_Hall '-I 4 2c'
_cell_length_a 10.690
_cell_length_b 10.690
_cell_length_c 5.577
_cell_angle_alpha 90.00
_cell_angle_beta 90.00
_cell_angle_gamma 90.00
loop_
_atom_site_label
_atom_site_fract_x
_atom_site_fract_y
_atom_site_fract_z
_atom_site_occupancy
Sc1 0.000 0.500 0.250 1
Sc2 0.082 0.214 0.000 1
Pd1 0.000 0.000 0.250 1
Pd2 0.163 0.337 0.500 1
```

A relaxed structure of ScPd, computed with PBE-GGA.

VASP energy = -6.579 eV per atom
Mass density = 6.7 g/cm3

Geometry as CIF:
```
data_ScPd
_symmetry_space_group_name_H-M 'P 21 21 21'
_symmetry_Int_Tables_number 19
_cell_length_a 5.134
_cell_length_b 5.441
_cell_length_c 10.751
_cell_angle_alpha 90.00
_cell_angle_beta 90.00
_cell_angle_gamma 90.00
loop_
_symmetry_equiv_pos_as_xyz
'x,y,z'
'-x+1/2,-y,z+1/2'
'x+1/2,-y+1/2,-z'
'-x,y+1/2,-z+1/2'
loop_
_atom_site_label
_atom_site_fract_x
_atom_site_fract_y
_atom_site_fract_z
_atom_site_occupancy
Sc1 0.166 0.153 0.307 1
Sc2 0.170 0.577 0.527 1
Pd1 0.163 0.353 0.780 1
Pd2 0.193 0.081 0.559 1
```

A relaxed structure of Sc5Pd3, computed with PBE-GGA.

VASP energy = -6.446 eV per atom
Mass density = 5.8 g/cm3
Polymorph energy (0 for the lowest one) = 108 meV/atom

Geometry as CIF:
```
data_Sc5Pd3
_symmetry_space_group_name_H-M 'P -6 2 m'
_symmetry_Int_Tables_number 189
_symmetry_space_group_name_Hall 'P -6 -2'
_cell_length_a 7.7779
_cell_length_b 7.7779
_cell_length_c 2.9582
_cell_angle_alpha 90.00
_cell_angle_beta 90.00
_cell_angle_gamma 120.00
loop_
_atom_site_label
_atom_site_fract_x
_atom_site_fract_y
_atom_site_fract_z
_atom_site_occupancy
Sc1 0.0000 0.7669 0.0000 1
Sc2 0.3333 0.6667 0.0000 1
Pd1 0.0000 0.3776 0.5000 1
```

A relaxed structure of ScPd, computed with PBE-GGA.

VASP energy = -6.402 eV per atom
Mass density = 6.3 g/cm3

Geometry as CIF:
```
data_ScPd
_symmetry_space_group_name_H-M 'P 42/m n m'
_symmetry_Int_Tables_number 136
_symmetry_space_group_name_Hall '-P 4n 2n'
_cell_length_a 5.434
_cell_length_b 5.434
_cell_length_c 5.392
_cell_angle_alpha 90.00
_cell_angle_beta 90.00
_cell_angle_gamma 90.00
loop_
_atom_site_label
_atom_site_fract_x
_atom_site_fract_y
_atom_site_fract_z
_atom_site_occupancy
Sc1 0.209 0.209 0.000 1
Pd1 0.201 0.201 0.500 1
```

A relaxed structure of ScPd3, computed with PBE-GGA.

VASP energy = -6.312 eV per atom
Mass density = 9.4 g/cm3

Geometry as CIF:
```
data_ScPd3
_symmetry_space_group_name_H-M 'P m -3 m'
_symmetry_Int_Tables_number 221
_symmetry_space_group_name_Hall '-P 4 2 3'
_cell_length_a 4.010
_cell_length_b 4.010
_cell_length_c 4.010
_cell_angle_alpha 90.00
_cell_angle_beta 90.00
_cell_angle_gamma 90.00
loop_
_atom_site_label
_atom_site_fract_x
_atom_site_fract_y
_atom_site_fract_z
_atom_site_occupancy
Sc1 0.000 0.000 0.000 1
Pd1 0.000 0.500 0.500 1
```

| no. | ΔH_f (0 K) (meV/atom) |
| --- | --- |
| 1 | -707 |
| 2 | -521 |
| 3 | -695 |
| 4 | -880 |
| 5 | -206 |
| 6 | -510 |
| 7 | -763 |
| 8 | -649 |
| 9 | -817 |
| 10 | -541 |
| 11 | -640 |
| 12 | -835 |